Record 1
# AcPa6 | Alexandria via LeMat-Bulk | GGA-PBE | optimized geometry
# - total moment (μB/cell) = 14.81
# - formation energy from the elements (eV per atom) = 1.24
# - volume (Å³ per atom) = 33.11
data_AcPa6
_symmetry_space_group_name_H-M 'I m -3 m'
_symmetry_Int_Tables_number 229
_symmetry_space_group_name_Hall '-I 4 2 3'
_cell_length_a 7.739
_cell_length_b 7.739
_cell_length_c 7.739
_cell_angle_alpha 90.00
_cell_angle_beta 90.00
_cell_angle_gamma 90.00
loop_
_atom_site_label
_atom_site_type_symbol
_atom_site_fract_x
_atom_site_fract_y
_atom_site_fract_z
Ac1 Ac 0.000 0.000 0.000
Pa1 Pa 0.000 0.250 0.500

Record 2
# AcPaPb | Alexandria via LeMat-Bulk | GGA-PBE | optimized geometry
# - total moment (μB/cell) = 1.23
# - ΔE to the lowest computed polymorph (meV/atom) = 229.2
# - formation energy from the elements (eV per atom) = 0.40
# - volume (Å³ per atom) = 30.63
data_AcPaPb
_symmetry_space_group_name_H-M 'P -6 m 2'
_symmetry_Int_Tables_number 187
_symmetry_space_group_name_Hall 'P -6 2'
_cell_length_a 5.6297
_cell_length_b 5.6297
_cell_length_c 3.3482
_cell_angle_alpha 90.00
_cell_angle_beta 90.00
_cell_angle_gamma 120.00
loop_
_atom_site_label
_atom_site_type_symbol
_atom_site_fract_x
_atom_site_fract_y
_atom_site_fract_z
Ac1 Ac 0.0000 0.0000 0.0000
Pa1 Pa 0.3333 0.6667 0.0000
Pb1 Pb 0.6667 0.3333 0.5000

Record 3
# Ac2PaPb | Alexandria via LeMat-Bulk | GGA-PBE | optimized geometry
# - total moment (μB/cell) = 0.20
# - ΔE to the lowest computed polymorph (meV/atom) = 0.0
# - formation energy from the elements (eV per atom) = 0.09
# - volume (Å³ per atom) = 34.38
data_Ac2PaPb
_symmetry_space_group_name_H-M 'P 4/m m m'
_symmetry_Int_Tables_number 123
_symmetry_space_group_name_Hall '-P 4 2'
_cell_length_a 3.662
_cell_length_b 3.662
_cell_length_c 10.254
_cell_angle_alpha 90.00
_cell_angle_beta 90.00
_cell_angle_gamma 90.00
loop_
_atom_site_label
_atom_site_type_symbol
_atom_site_fract_x
_atom_site_fract_y
_atom_site_fract_z
Ac1 Ac 0.000 0.000 0.248
Pa1 Pa 0.500 0.500 0.000
Pb1 Pb 0.500 0.500 0.500

Record 4
# Ac2PaPb | Alexandria via LeMat-Bulk | GGA-PBE | optimized geometry
# - total moment (μB/cell) = 1.18
# - ΔE to the lowest computed polymorph (meV/atom) = 19.3
# - formation energy from the elements (eV per atom) = 0.11
# - volume (Å³ per atom) = 33.80
data_Ac2PaPb
_symmetry_space_group_name_H-M 'P 4/m m m'
_symmetry_Int_Tables_number 123
_symmetry_space_group_name_Hall '-P 4 2'
_cell_length_a 5.189
_cell_length_b 5.189
_cell_length_c 5.021
_cell_angle_alpha 90.00
_cell_angle_beta 90.00
_cell_angle_gamma 90.00
loop_
_atom_site_label
_atom_site_type_symbol
_atom_site_fract_x
_atom_site_fract_y
_atom_site_fract_z
Ac1 Ac 0.000 0.500 0.000
Pa1 Pa 0.000 0.000 0.500
Pb1 Pb 0.500 0.500 0.500

Record 5
# Ac2PaPb | Alexandria via LeMat-Bulk | GGA-PBE | optimized geometry
# - total moment (μB/cell) = 0.00
# - ΔE to the lowest computed polymorph (meV/atom) = 277.9
# - formation energy from the elements (eV per atom) = 0.37
# - volume (Å³ per atom) = 34.42
data_Ac2PaPb
_symmetry_space_group_name_H-M 'R -3 m'
_symmetry_Int_Tables_number 166
_symmetry_space_group_name_Hall '-R 3 2"'
_cell_length_a 3.5207
_cell_length_b 3.5207
_cell_length_c 38.4759
_cell_angle_alpha 90.00
_cell_angle_beta 90.00
_cell_angle_gamma 120.00
loop_
_atom_site_label
_atom_site_type_symbol
_atom_site_fract_x
_atom_site_fract_y
_atom_site_fract_z
Ac1 Ac 0.0000 0.0000 0.0890
Pa1 Pa 0.0000 0.0000 0.0000
Pb1 Pb 0.0000 0.0000 0.5000

Record 6
# Ac2PaPb | Alexandria via LeMat-Bulk | GGA-PBE | optimized geometry
# - total moment (μB/cell) = 8.36
# - ΔE to the lowest computed polymorph (meV/atom) = 211.9
# - formation energy from the elements (eV per atom) = 0.30
# - volume (Å³ per atom) = 35.06
data_Ac2PaPb
_symmetry_space_group_name_H-M 'F m -3 m'
_symmetry_Int_Tables_number 225
_symmetry_space_group_name_Hall '-F 4 2 3'
_cell_length_a 8.248
_cell_length_b 8.248
_cell_length_c 8.248
_cell_angle_alpha 90.00
_cell_angle_beta 90.00
_cell_angle_gamma 90.00
loop_
_atom_site_label
_atom_site_type_symbol
_atom_site_fract_x
_atom_site_fract_y
_atom_site_fract_z
Ac1 Ac 0.250 0.250 0.250
Pa1 Pa 0.000 0.000 0.000
Pb1 Pb 0.000 0.000 0.500

Record 7
# AcPaPb | Alexandria via LeMat-Bulk | GGA-PBE | optimized geometry
# - total moment (μB/cell) = 1.45
# - ΔE to the lowest computed polymorph (meV/atom) = 0.0
# - formation energy from the elements (eV per atom) = 0.17
# - volume (Å³ per atom) = 32.76
data_AcPaPb
_symmetry_space_group_name_H-M 'I 4 m m'
_symmetry_Int_Tables_number 107
_symmetry_space_group_name_Hall 'I 4 -2'
_cell_length_a 4.167
_cell_length_b 4.167
_cell_length_c 11.320
_cell_angle_alpha 90.00
_cell_angle_beta 90.00
_cell_angle_gamma 90.00
loop_
_atom_site_label
_atom_site_type_symbol
_atom_site_fract_x
_atom_site_fract_y
_atom_site_fract_z
Ac1 Ac 0.000 0.000 0.000
Pa1 Pa 0.000 0.000 0.701
Pb1 Pb 0.000 0.000 0.328

Record 8
# AcPaPb | Alexandria via LeMat-Bulk | GGA-PBE | optimized geometry
# - total moment (μB/cell) = 0.00
# - ΔE to the lowest computed polymorph (meV/atom) = 38.8
# - formation energy from the elements (eV per atom) = 0.21
# - volume (Å³ per atom) = 32.58
data_AcPaPb
_symmetry_space_group_name_H-M 'P 4/n m m'
_symmetry_Int_Tables_number 129
_cell_length_a 4.402
_cell_length_b 4.402
_cell_length_c 10.089
_cell_angle_alpha 90.00
_cell_angle_beta 90.00
_cell_angle_gamma 90.00
loop_
_symmetry_equiv_pos_as_xyz
'x,y,z'
'-x,-y,-z'
'-y+1/2,x,z'
'y+1/2,-x,-z'
'-x+1/2,-y+1/2,z'
'x+1/2,y+1/2,-z'
'y,-x+1/2,z'
'-y,x+1/2,-z'
'x+1/2,-y,-z'
'-x+1/2,y,z'
'-y,-x,-z'
'y,x,z'
'-x,y+1/2,-z'
'x,-y+1/2,z'
'y+1/2,x+1/2,-z'
'-y+1/2,-x+1/2,z'
loop_
_atom_site_label
_atom_site_type_symbol
_atom_site_fract_x
_atom_site_fract_y
_atom_site_fract_z
Ac1 Ac 0.250 0.250 0.242
Pa1 Pa 0.250 0.250 0.563
Pb1 Pb 0.250 0.250 0.900

Record 9
# AcPmPaPb | Alexandria via LeMat-Bulk | GGA-PBE | optimized geometry
# - total moment (μB/cell) = 7.11
# - formation energy from the elements (eV per atom) = 0.25
# - volume (Å³ per atom) = 32.00
data_AcPmPaPb
_symmetry_space_group_name_H-M 'F -4 3 m'
_symmetry_Int_Tables_number 216
_symmetry_space_group_name_Hall 'F -4 2 3'
_cell_length_a 8.000
_cell_length_b 8.000
_cell_length_c 8.000
_cell_angle_alpha 90.00
_cell_angle_beta 90.00
_cell_angle_gamma 90.00
loop_
_atom_site_label
_atom_site_type_symbol
_atom_site_fract_x
_atom_site_fract_y
_atom_site_fract_z
Ac1 Ac 0.000 0.000 0.000
Pm1 Pm 0.000 0.000 0.500
Pa1 Pa 0.250 0.250 0.250
Pb1 Pb 0.250 0.250 0.750

Record 10
# Ac2PaPbS6 | Alexandria via LeMat-Bulk | GGA-PBE | optimized geometry
# - total moment (μB/cell) = 3.13
# - energy (eV/cell) = -187.6
# - volume (Å³ per atom) = 30.47
data_Ac2PaPbS6
_symmetry_space_group_name_H-M 'R 3'
_symmetry_Int_Tables_number 146
_symmetry_space_group_name_Hall 'R 3'
_cell_length_a 7.4214
_cell_length_b 7.4214
_cell_length_c 19.1661
_cell_angle_alpha 90.00
_cell_angle_beta 90.00
_cell_angle_gamma 120.00
loop_
_atom_site_label
_atom_site_type_symbol
_atom_site_fract_x
_atom_site_fract_y
_atom_site_fract_z
Ac1 Ac 0.0000 0.0000 0.0000
Ac2 Ac 0.0000 0.0000 0.4937
Pa1 Pa 0.0000 0.0000 0.7019
Pb1 Pb 0.0000 0.0000 0.2104
S1 S 0.0470 0.3420 0.7715
S2 S 0.0567 0.6757 0.2754

Record 11
# AcPaPb2Se6 | Alexandria via LeMat-Bulk | GGA-PBE | optimized geometry
# - total moment (μB/cell) = 0.00
# - energy (eV/cell) = -160.7
# - volume (Å³ per atom) = 33.61
data_AcPaPb2Se6
_symmetry_space_group_name_H-M 'R 3'
_symmetry_Int_Tables_number 146
_symmetry_space_group_name_Hall 'R 3'
_cell_length_a 7.6384
_cell_length_b 7.6384
_cell_length_c 19.9554
_cell_angle_alpha 90.00
_cell_angle_beta 90.00
_cell_angle_gamma 120.00
loop_
_atom_site_label
_atom_site_type_symbol
_atom_site_fract_x
_atom_site_fract_y
_atom_site_fract_z
Ac1 Ac 0.0000 0.0000 0.0000
Pa1 Pa 0.0000 0.0000 0.4942
Pb1 Pb 0.0000 0.0000 0.2959
Pb2 Pb 0.0000 0.0000 0.8012
Se1 Se 0.0043 0.3790 0.2340
Se2 Se 0.0512 0.6740 0.0725

Record 12
# Ac2PaPbSe6 | Alexandria via LeMat-Bulk | GGA-PBE | optimized geometry
# - total moment (μB/cell) = 3.08
# - energy (eV/cell) = -171.4
# - volume (Å³ per atom) = 34.52
data_Ac2PaPbSe6
_symmetry_space_group_name_H-M 'R 3'
_symmetry_Int_Tables_number 146
_symmetry_space_group_name_Hall 'R 3'
_cell_length_a 7.7161
_cell_length_b 7.7161
_cell_length_c 20.0876
_cell_angle_alpha 90.00
_cell_angle_beta 90.00
_cell_angle_gamma 120.00
loop_
_atom_site_label
_atom_site_type_symbol
_atom_site_fract_x
_atom_site_fract_y
_atom_site_fract_z
Ac1 Ac 0.0000 0.0000 0.0000
Ac2 Ac 0.0000 0.0000 0.4929
Pa1 Pa 0.0000 0.0000 0.6979
Pb1 Pb 0.0000 0.0000 0.2062
Se1 Se 0.0453 0.3405 0.7699
Se2 Se 0.0523 0.6761 0.2723